# PuAlSb2

A geometry-optimized PuAlSb2 structure (GGA-PBE, Alexandria).

E_form (uncorrected) (eV per atom): -0.35
Crystal system: tetragonal
D(E_F) (states/eV/cell): 8.0
Energy above the most stable polymorph in this dataset (meV per atom): 0.0
VASP energy (eV per atom): -6.93

Unit cell a=4.6851 b=4.6851 c=4.3052 alpha=90.00 beta=90.00 gamma=90.00
Positions (direct):
Pu 0.0000 0.0000 0.0000
Al 0.5000 0.5000 0.0000
Sb 0.0000 0.5000 0.5000
Sb 0.5000 0.0000 0.5000

---

# Sr2PuAl2Sb4

A geometry-optimized Sr2PuAl2Sb4 structure (GGA-PBE, Alexandria).

E_form (uncorrected) (eV per atom): -0.59
Crystal system: monoclinic
D(E_F) (states/eV/cell): 13.9
VASP energy (eV per atom): -5.22

Unit cell a=8.3427 b=8.3427 c=7.8894 alpha=106.57 beta=106.57 gamma=31.31
Positions (direct):
Sr 0.1296 0.1296 0.0630
Sr 0.8704 0.8704 0.9370
Pu 0.0000 0.0000 0.5000
Al 0.3340 0.3340 0.5090
Al 0.6660 0.6660 0.4910
Sb 0.2114 0.2114 0.7026
Sb 0.4870 0.4870 0.7710
Sb 0.5130 0.5130 0.2290
Sb 0.7886 0.7886 0.2974